# SmTmCd2Pd4

A relaxed SmTmCd2Pd4 crystal (PBE, Alexandria).

Results
As for the energy of formation: -715 meV/atom.

Cell and atoms, written as POSCAR:
```
SmTmCd2Pd4
1.0
4.796 0.000 0.000
2.398 4.154 0.000
2.398 1.385 7.891
Pd Sm Cd Tm
4 1 2 1
direct
0.621 0.621 0.136
0.379 0.379 0.864
0.873 0.873 0.380
0.127 0.127 0.620
0.000 0.000 0.000
0.751 0.751 0.748
0.249 0.249 0.252
0.500 0.500 0.500
```

=====

# SiB3C

A relaxed SiB3C crystal (PBE, Alexandria).

Results
The energy relative to the lowest polymorph listed for this composition is 1530 meV per atom. Its formation energy (no corrections) is 8.7 eV per formula unit.

Cell and atoms, written as POSCAR:
```
SiB3C
1.0
-0.868 3.258 -0.878
-2.301 -1.235 -2.307
-2.468 0.006 2.459
B C Si
3 1 1
direct
0.000 0.500 0.000
0.000 0.000 0.500
0.500 0.000 0.000
0.000 0.000 0.000
0.500 0.500 0.500
```

=====

# TePW

A relaxed TePW crystal (PBE, Alexandria).

Results
The energy relative to the lowest polymorph listed for this composition is 403 meV per atom. Its formation energy (no corrections) is 1.5 eV per formula unit.

Cell and atoms, written as POSCAR:
```
TePW
1.0
2.152 -3.727 0.000
2.152 3.727 0.000
0.000 0.000 3.485
P Te W
1 1 1
direct
0.000 0.000 0.500
0.667 0.333 0.000
0.333 0.667 0.500
```

=====

Taking the records one at a time from the top gives total magnetization values of 0.00; 0.00; 0.00 μB/f.u..